Record 1
CsAl3Pd (SCAN, PBEsol geometry); crystal system = cubic
1.0
-1.0437 -2.4763 -4.0942
4.4482 1.0420 -1.7641
1.7631 -4.0947 2.0271
Cs Al Pd
1 3 1
direct
0.5000 0.5000 0.5000
0.0000 0.5000 0.0000
0.0000 0.0000 0.5000
0.5000 0.0000 0.0000
0.0000 0.0000 0.0000



Record 2
CsAlPd2 (SCAN, PBEsol geometry); crystal system = cubic
1.0
4.9164 0.0000 0.0000
2.4582 4.2577 0.0000
2.4582 1.4192 4.0142
Cs Al Pd
1 1 2
direct
0.5000 0.5000 0.5000
0.0000 0.0000 0.0000
0.2500 0.2500 0.2500
0.7500 0.7500 0.7500



Record 3
Cs2AlPt (SCAN, PBEsol geometry); crystal system = tetragonal; offset from the most stable computed form = 0.0 meV per atom
1.0
-3.7233 -2.7500 -1.2236
1.1739 -7.8720 4.7530
-6.6034 2.0213 6.1843
Cs Al Pt
4 2 2
direct
0.8750 0.1734 0.3266
0.3750 0.8266 0.6734
0.7984 0.3266 0.8266
0.9516 0.6734 0.1734
0.5000 0.0000 0.0000
0.2500 0.5000 0.5000
0.0000 0.0000 0.0000
0.7500 0.5000 0.5000



Record 4
Cs2AlPt (SCAN, PBEsol geometry); crystal system = cubic; offset from the most stable computed form = 788.7 meV per atom
1.0
-2.7070 4.0873 2.8597
-5.4541 1.1070 -1.1131
-4.0020 -1.3600 3.7876
Cs Al Pt
2 1 1
direct
0.2500 0.2500 0.2500
0.7500 0.7500 0.7500
0.0000 0.0000 0.0000
0.5000 0.5000 0.5000



Record 5
Cs2AlRuPt (SCAN, PBEsol geometry); crystal system = tetragonal
1.0
-1.6146 -4.2965 -0.2072
5.6013 -1.9818 -2.5528
2.2979 -1.1497 5.9344
Cs Ru Al Pt
2 1 1 1
direct
0.0000 0.0000 0.5000
0.0000 0.5000 0.0000
0.5000 0.0000 0.0000
0.0000 0.0000 0.0000
0.5000 0.5000 0.5000



Record 6
CsRbAl3 (SCAN, PBEsol geometry); crystal system = cubic
1.0
-6.0318 0.7165 0.8794
-0.9070 -0.1886 -6.0672
-0.6813 -6.0926 0.2912
Cs Al Rb
1 3 1
direct
0.0000 0.0000 0.0000
0.0000 0.5000 0.0000
0.0000 0.0000 0.5000
0.5000 0.0000 0.0000
0.5000 0.5000 0.5000



Record 7
Cs3RbAl (SCAN, PBEsol geometry); crystal system = cubic
1.0
7.4132 0.0000 0.0000
0.0000 7.4132 0.0000
0.0000 0.0000 7.4132
Cs Al Rb
3 1 1
direct
0.0000 0.5000 0.0000
0.0000 0.0000 0.5000
0.5000 0.0000 0.0000
0.0000 0.0000 0.0000
0.5000 0.5000 0.5000



Record 8
Cs2RbTaAl (SCAN, PBEsol geometry); crystal system = tetragonal
1.0
-1.1254 -5.6422 0.9940
6.3678 -1.4778 -1.1783
1.3903 0.8570 6.4385
Cs Al Rb Ta
2 1 1 1
direct
0.0000 0.0000 0.5000
0.0000 0.5000 0.0000
0.5000 0.0000 0.0000
0.0000 0.0000 0.0000
0.5000 0.5000 0.5000



Record 9
CsAlS3 (SCAN, PBEsol geometry); raw formation energy = 1276 meV/atom; crystal system = cubic
1.0
-0.3799 3.2952 4.3448
-5.4469 -0.0227 -0.4590
-0.2587 -4.3613 3.2851
Cs S Al
1 3 1
direct
0.0000 0.0000 0.0000
0.0000 0.5000 0.0000
0.0000 0.0000 0.5000
0.5000 0.0000 0.0000
0.5000 0.5000 0.5000



Record 10
Cs3AlSb (SCAN, PBEsol geometry); raw formation energy = 472 meV/atom; crystal system = cubic
1.0
-0.7030 5.0829 4.2598
-6.5035 -1.3669 0.5577
1.2982 -4.0953 5.1008
Cs Sb Al
3 1 1
direct
0.0000 0.5000 0.0000
0.0000 0.0000 0.5000
0.5000 0.0000 0.0000
0.5000 0.5000 0.5000
0.0000 0.0000 0.0000



Record 11
CsAlSe2 (SCAN, PBEsol geometry); raw formation energy = -791 meV/atom; crystal system = trigonal
1.0
5.7574 0.0000 0.0000
2.8787 4.9860 0.0000
2.8787 1.6620 7.3539
Cs Al Se
1 1 2
direct
0.5000 0.5000 0.5000
0.0000 0.0000 0.0000
0.9008 0.9008 0.2976
0.0992 0.0992 0.7024



Record 12
CsAlSe2 (SCAN, PBEsol geometry); raw formation energy = -1286 meV/atom; crystal system = tetragonal
1.0
-4.7682 5.0090 0.0293
-0.0309 -3.9252 5.6937
6.5097 2.3341 0.0405
Cs Al Se
2 2 4
direct
0.0000 0.0000 0.0000
0.5000 0.7500 0.2500
0.0000 0.5000 0.5000
0.5000 0.2500 0.7500
0.1158 0.8750 0.4908
0.8842 0.3750 0.7592
0.3842 0.5092 0.6250
0.6158 0.2408 0.1250



Record 13
CsAlSiSe2 (SCAN, PBEsol geometry); raw formation energy = -146 meV/atom; crystal system = tetragonal
1.0
4.8583 0.0000 0.0000
0.0000 5.1778 0.0000
0.0000 0.0000 5.1778
Cs Si Al Se
1 1 1 2
direct
0.5000 0.5000 0.5000
0.5000 0.0000 0.0000
0.0000 0.0000 0.0000
0.0000 0.0000 0.5000
0.0000 0.5000 0.0000



Record 14
Cs3AlSn (SCAN, PBEsol geometry); crystal system = cubic
1.0
-5.3041 1.4812 -4.7014
0.6770 -6.6219 -2.8501
-4.8825 -2.5273 4.7122
Cs Sn Al
3 1 1
direct
0.0000 0.5000 0.0000
0.0000 0.0000 0.5000
0.5000 0.0000 0.0000
0.0000 0.0000 0.0000
0.5000 0.5000 0.5000



Record 15
CsSr2Al2 (SCAN, PBEsol geometry); crystal system = tetragonal
1.0
-0.9328 0.7058 -3.5492
8.0531 -4.1597 -2.9437
-4.5066 -8.3832 -0.4825
Cs Sr Al
2 4 4
direct
0.0000 0.0000 0.0000
0.0000 0.5000 0.5000
0.0000 0.3230 0.8230
0.0000 0.8230 0.6770
0.0000 0.6770 0.1770
0.0000 0.1770 0.3230
0.5000 0.1074 0.6074
0.5000 0.6074 0.8926
0.5000 0.8926 0.3926
0.5000 0.3926 0.1074



Record 16
CsSrAl2 (SCAN, PBEsol geometry); crystal system = cubic
1.0
-3.0217 -3.9663 2.8892
2.7136 -3.7667 3.4143
-0.5377 0.3929 5.7241
Cs Sr Al
1 1 2
direct
0.5000 0.5000 0.5000
0.0000 0.0000 0.0000
0.2500 0.2500 0.2500
0.7500 0.7500 0.7500



Record 17
CsSr3Al (SCAN, PBEsol geometry); crystal system = cubic
1.0
5.9758 0.0000 0.0000
0.0000 5.9758 0.0000
0.0000 0.0000 5.9758
Cs Sr Al
1 3 1
direct
0.0000 0.0000 0.0000
0.0000 0.5000 0.0000
0.0000 0.0000 0.5000
0.5000 0.0000 0.0000
0.5000 0.5000 0.5000



Record 18
Cs3AlTe3 (SCAN, PBEsol geometry); raw formation energy = -1121 meV/atom; crystal system = monoclinic
1.0
-8.7492 -0.3706 -2.2442
2.8695 -9.1452 -1.9240
-3.2591 -3.8286 13.3378
Cs Al Te
12 4 12
direct
0.2417 0.8892 0.5781
0.2583 0.6108 0.0781
0.7583 0.1108 0.4219
0.7417 0.3892 0.9219
0.2184 0.0963 0.3086
0.2816 0.4037 0.8086
0.7816 0.9037 0.6914
0.7184 0.5963 0.1914
0.3563 0.9827 0.8763
0.1437 0.5173 0.3763
0.6437 0.0173 0.1237
0.8563 0.4827 0.6237
0.4085 0.3401 0.5583
0.0915 0.1599 0.0583
0.5915 0.6599 0.4417
0.9085 0.8401 0.9417
0.0336 0.8892 0.1104
0.4664 0.6108 0.6104
0.9664 0.1108 0.8896
0.5336 0.3892 0.3896
0.0454 0.6892 0.8328
0.4546 0.8108 0.3328
0.9546 0.3108 0.1672
0.5454 0.1892 0.6672
0.3792 0.2640 0.0566
0.1208 0.2360 0.5566
0.6208 0.7360 0.9434
0.8792 0.7640 0.4434



Record 19
CsAlTe2 (SCAN, PBEsol geometry); raw formation energy = -904 meV/atom; crystal system = tetragonal
1.0
-1.9548 2.7181 6.5787
-5.3574 -4.0333 -3.0854
5.6764 -4.6957 0.4668
Cs Te Al
2 4 2
direct
0.5000 0.7500 0.2500
0.0000 0.0000 0.0000
0.8949 0.5199 0.1250
0.1051 0.2301 0.6250
0.3949 0.8750 0.7699
0.6051 0.3750 0.4801
0.5000 0.2500 0.7500
0.0000 0.5000 0.5000



Record 20
Cs3AlTl (SCAN, PBEsol geometry); crystal system = cubic
1.0
-6.0308 -3.6958 0.2446
3.7017 -6.0302 0.1550
0.1275 0.2600 7.0714
Cs Tl Al
3 1 1
direct
0.0000 0.5000 0.0000
0.0000 0.0000 0.5000
0.5000 0.0000 0.0000
0.0000 0.0000 0.0000
0.5000 0.5000 0.5000



Record 21
CsZr2AlW (SCAN, PBEsol geometry); crystal system = tetragonal
1.0
4.9076 0.0000 0.0000
0.0000 5.0942 0.0000
0.0000 0.0000 5.0942
Cs Zr W Al
1 2 1 1
direct
0.0000 0.0000 0.0000
0.0000 0.0000 0.5000
0.0000 0.5000 0.0000
0.5000 0.0000 0.0000
0.5000 0.5000 0.5000



Record 22
Al6Cu7 (SCAN, PBEsol geometry); crystal system = trigonal
1.0
-4.6186 1.1330 0.8882
-3.1844 -3.4841 1.0604
-0.8216 0.0735 8.8094
Al Cu
6 7
direct
0.0497 0.0497 0.8509
0.9503 0.9503 0.1491
0.1549 0.1549 0.5353
0.8451 0.8451 0.4647
0.3326 0.3326 0.0021
0.6674 0.6674 0.9979
0.5881 0.0859 0.7379
0.0859 0.5881 0.7379
0.5881 0.5881 0.7379
0.4119 0.9141 0.2621
0.4119 0.4119 0.2621
0.9141 0.4119 0.2621
0.5000 0.5000 0.5000



Record 23
Al3Cu (SCAN, PBEsol geometry); crystal system = tetragonal
1.0
-2.3084 1.1480 1.0201
-0.9122 -2.5065 0.7566
3.3867 0.8069 6.7561
Al Cu
3 1
direct
0.0000 0.0000 0.7775
0.5000 0.5000 0.5000
0.0000 0.0000 0.2225
0.5000 0.5000 0.0000



Record 24
Al3Cu (SCAN, PBEsol geometry); crystal system = cubic
1.0
3.8913 0.0000 0.0000
0.0000 3.8913 0.0000
0.0000 0.0000 3.8913
Al Cu
3 1
direct
0.0000 0.5000 0.5000
0.5000 0.0000 0.5000
0.5000 0.5000 0.0000
0.0000 0.0000 0.0000



Record 25
AlCu4 (SCAN, PBEsol geometry); crystal system = cubic
1.0
-0.8839 -6.0650 1.0501
6.1550 -0.8808 0.0937
0.0573 1.0527 6.1283
Al Cu
4 16
direct
0.4399 0.9399 0.5601
0.9399 0.5601 0.4399
0.5601 0.4399 0.9399
0.0601 0.0601 0.0601
0.8088 0.3088 0.1912
0.3088 0.1912 0.8088
0.1912 0.8088 0.3088
0.6912 0.6912 0.6912
0.0471 0.8755 0.7009
0.2991 0.5471 0.6245
0.3755 0.7991 0.9529
0.5471 0.6245 0.2991
0.7991 0.9529 0.3755
0.8755 0.7009 0.0471
0.9529 0.3755 0.7991
0.7009 0.0471 0.8755
0.6245 0.2991 0.5471
0.4529 0.1245 0.2009
0.2009 0.4529 0.1245
0.1245 0.2009 0.4529



Record 26
AlCu5 (SCAN, PBEsol geometry); crystal system = tetragonal
1.0
-2.5486 -1.3366 -0.5874
0.9096 -2.3780 1.4644
-3.1738 3.0259 6.8848
Al Cu
1 5
direct
0.5000 0.5000 0.0000
0.0000 0.0000 0.8272
0.0000 0.0000 0.1728
0.5000 0.5000 0.6621
0.5000 0.5000 0.3379
0.0000 0.0000 0.5000



| no. | uncorrected energy (eV per formula unit) | total moment (μB per cell) |
| --- | --- | --- |
| 1 | -93.9 | 0.0 |
| 2 | -109.1 | 0.0 |
| 3 | -154.2 | 0.0 |
| 4 | -151.1 | 0.0 |
| 5 | -182.7 | 2.3 |
| 6 | -74.8 | 0.0 |
| 7 | -140.4 | 0.0 |
| 8 | -161.1 | 3.9 |
| 9 | -68.1 | 1.5 |
| 10 | -156.1 | 2.3 |
| 11 | -88.9 | 0.0 |
| 12 | -90.9 | 0.0 |
| 13 | -96.5 | 0.0 |
| 14 | -154.6 | 0.0 |
| 15 | -97.5 | 0.0 |
| 16 | -73.8 | 0.0 |
| 17 | -106.8 | 0.0 |
| 18 | -240.8 | 0.0 |
| 19 | -123.7 | 0.0 |
| 20 | -191.2 | 0.8 |
| 21 | -163.7 | 0.0 |
| 22 | -156.0 | 0.0 |
| 23 | -39.0 | 0.0 |
| 24 | -38.7 | 0.0 |
| 25 | -69.4 | 0.0 |
| 26 | -84.5 | 0.0 |